This record from the Alexandria database describes a geometry-optimized Ho2NpFeO8 structure. The functional is PBE+U.

Properties
Its electronic total energy is -8.33 eV/atom.

Lattice parameters (Å, degrees): 6.8250 7.1903 6.7916 90.00 90.00 90.00
Space group Cmmm (No. 65)
Inequivalent atoms, fractional coordinates:
Ho  0.0000  0.0000  0.2364
Np  0.0000  0.5000  0.5000
Fe  0.0000  0.5000  0.0000
O  0.0000  0.3191  0.2667
O  0.2070  0.0000  0.5000
O  0.2177  0.0000  0.0000